1.
Below is a relaxed AcMgRe2O8 crystal, with properties calculated at the PBE level.

Cell lengths 5.8041, 5.8041, 6.9072 Å; angles 90.00, 90.00, 120.00 degrees
With the nearest neighbours (Å) after each atom.
Positions (direct):
Ac 0.0000 0.0000 0.0000  6 O 2.60
Mg 0.0000 0.0000 0.5000  6 O 2.08
Re 0.3333 0.6667 0.7579  4 O 1.82-1.83
Re 0.6667 0.3333 0.2421  4 O 1.82-1.83
O 0.1546 0.3111 0.6991  1 Re 1.83
O 0.1564 0.8454 0.6991  1 Re 1.83
O 0.3111 0.1564 0.3009  1 Re 1.83
O 0.3333 0.6667 0.0215  1 Re 1.82
O 0.6667 0.3333 0.9785  1 Re 1.82
O 0.6889 0.8436 0.6991  1 Re 1.83
O 0.8436 0.1546 0.3009  1 Re 1.83
O 0.8454 0.6889 0.3009  1 Re 1.83

## Properties
Final energy: -7.824 eV per atom
Calculated volume: 201.5 Å³/f.u.
Formation energy without anion corrections: -1.9683 eV/atom


2.
Below is a relaxed AcMgRhO6 crystal, with properties calculated at the PBE level.

Cell lengths 5.7824, 5.7824, 7.8215 Å; angles 90.00, 90.00, 120.00 degrees
With the nearest neighbours (Å) after each atom.
Positions (direct):
Ac 0.3333 0.6667 0.2500  6 O 2.52
Ac 0.6667 0.3333 0.7500  6 O 2.52
Mg 0.0000 0.0000 0.0000  6 O 2.14
Mg 0.0000 0.0000 0.5000  6 O 2.14
Rh 0.3333 0.6667 0.7500  6 O 1.94
Rh 0.6667 0.3333 0.2500  6 O 1.94
O 0.0772 0.3716 0.6097  1 Rh 1.94, 1 Mg 2.14
O 0.0772 0.7056 0.8903  1 Rh 1.94, 1 Mg 2.14
O 0.2944 0.3716 0.8903  1 Rh 1.94, 1 Mg 2.14
O 0.2944 0.9228 0.6097  1 Rh 1.94, 1 Mg 2.14
O 0.3716 0.0772 0.1097  1 Rh 1.94, 1 Mg 2.14
O 0.3716 0.2944 0.3903  1 Rh 1.94, 1 Mg 2.14
O 0.6284 0.7056 0.6097  1 Rh 1.94, 1 Mg 2.14
O 0.6284 0.9228 0.8903  1 Rh 1.94, 1 Mg 2.14
O 0.7056 0.0772 0.3903  1 Rh 1.94, 1 Mg 2.14
O 0.7056 0.6284 0.1097  1 Rh 1.94, 1 Mg 2.14
O 0.9228 0.2944 0.1097  1 Rh 1.94, 1 Mg 2.14
O 0.9228 0.6284 0.3903  1 Rh 1.94, 1 Mg 2.14

## Properties
Final energy: -6.312 eV per atom
Calculated volume: 113.2 Å³/f.u.
Formation energy without anion corrections: -1.5560 eV/atom


3.
Below is a relaxed Ac2MgRhO6 crystal, with properties calculated at the PBE level.

Cell lengths 5.7385, 5.6948, 9.8906 Å; angles 90.00, 125.39, 90.00 degrees
With the nearest neighbours (Å) after each atom.
Positions (direct):
Ac 0.2456 0.0242 0.2500  6 O 2.53-2.74
Ac 0.2456 0.4758 0.7500  6 O 2.53-2.74
Ac 0.7544 0.5242 0.2500  6 O 2.53-2.74
Ac 0.7544 0.9758 0.7500  6 O 2.53-2.74
Mg 0.5000 0.0000 0.0000  6 O 2.07
Mg 0.5000 0.5000 0.5000  6 O 2.07
Rh 0.0000 0.0000 0.5000  6 O 2.03
Rh 0.0000 0.5000 0.0000  6 O 2.03
O 0.1860 0.2263 0.9649  1 Rh 2.03, 1 Mg 2.07
O 0.1860 0.2737 0.4649  1 Rh 2.03, 1 Mg 2.07
O 0.2378 0.7216 0.9650  1 Rh 2.03, 1 Mg 2.07
O 0.2378 0.7784 0.4650  1 Rh 2.03, 1 Mg 2.07
O 0.3123 0.0088 0.7475  1 Rh 2.03, 1 Mg 2.07
O 0.3123 0.4912 0.2475  1 Rh 2.03, 1 Mg 2.07
O 0.6877 0.5088 0.7525  1 Rh 2.03, 1 Mg 2.07
O 0.6877 0.9912 0.2525  1 Rh 2.03, 1 Mg 2.07
O 0.7622 0.2216 0.5350  1 Rh 2.03, 1 Mg 2.07
O 0.7622 0.2784 0.0350  1 Rh 2.03, 1 Mg 2.07
O 0.8140 0.7263 0.5351  1 Rh 2.03, 1 Mg 2.07
O 0.8140 0.7737 0.0351  1 Rh 2.03, 1 Mg 2.07

## Properties
Final energy: -7.197 eV per atom
Calculated volume: 131.7 Å³/f.u.
Formation energy without anion corrections: -2.5054 eV/atom


4.
Below is a relaxed AcMgRuO6 crystal, with properties calculated at the PBE level.

Cell lengths 5.2815, 5.2815, 5.2911 Å; angles 90.00, 90.00, 120.00 degrees
With the nearest neighbours (Å) after each atom.
Positions (direct):
Ac 0.0000 0.0000 0.0000  6 O 2.51
Mg 0.3333 0.6667 0.5000  6 O 2.07
Ru 0.6667 0.3333 0.5000  6 O 1.91
O 0.3854 0.0228 0.7065  1 Ru 1.91, 1 Mg 2.07
O 0.3854 0.3626 0.2935  1 Ru 1.91, 1 Mg 2.07
O 0.6374 0.0228 0.2935  1 Ru 1.91, 1 Mg 2.07
O 0.6374 0.6146 0.7065  1 Ru 1.91, 1 Mg 2.07
O 0.9772 0.3626 0.7065  1 Ru 1.91, 1 Mg 2.07
O 0.9772 0.6146 0.2935  1 Ru 1.91, 1 Mg 2.07

## Properties
Final energy: -6.856 eV per atom
Calculated volume: 127.8 Å³/f.u.
Formation energy without anion corrections: -1.8858 eV/atom


5.
Below is a relaxed AcMgRu2O8 crystal, with properties calculated at the PBE level.

Cell lengths 5.7175, 5.7175, 7.0451 Å; angles 90.00, 90.00, 120.00 degrees
With the nearest neighbours (Å) after each atom.
Positions (direct):
Ac 0.0000 0.0000 0.0000  6 O 2.60
Mg 0.0000 0.0000 0.5000  6 O 2.08
Ru 0.3333 0.6667 0.7517  4 O 1.81-1.82
Ru 0.6667 0.3333 0.2483  4 O 1.81-1.82
O 0.1424 0.3079 0.7007  1 Ru 1.81
O 0.1655 0.8576 0.7007  1 Ru 1.81
O 0.3079 0.1655 0.2993  1 Ru 1.81
O 0.3333 0.6667 0.0100  1 Ru 1.82
O 0.6667 0.3333 0.9900  1 Ru 1.82
O 0.6921 0.8345 0.7007  1 Ru 1.81
O 0.8345 0.1424 0.2993  1 Ru 1.81
O 0.8576 0.6921 0.2993  1 Ru 1.81

## Properties
Final energy: -6.892 eV per atom
Calculated volume: 199.4 Å³/f.u.
Formation energy without anion corrections: -1.5652 eV/atom


6.
Below is a relaxed Ac2MgRuO8 crystal, with properties calculated at the PBE level.

Cell lengths 4.3081, 5.6033, 7.1037 Å; angles 85.47, 89.38, 83.21 degrees
With the nearest neighbours (Å) after each atom.
Positions (direct):
Ac 0.2081 0.0213 0.2421  6 O 2.47-2.70
Ac 0.7919 0.9787 0.7579  6 O 2.47-2.70
Mg 0.5000 0.5000 0.0000  4 O 1.97-2.08
Ru 0.5000 0.5000 0.5000  6 O 1.85-1.95
O 0.2162 0.7697 0.5549  1 Ru 1.89
O 0.2695 0.2839 0.6339  1 Ru 1.85
O 0.2857 0.4714 0.2639  1 Ru 1.95, 1 Mg 2.08
O 0.2906 0.8295 0.9420  1 Mg 1.97
O 0.7094 0.1705 0.0580  1 Mg 1.97
O 0.7143 0.5286 0.7361  1 Ru 1.95, 1 Mg 2.08
O 0.7305 0.7161 0.3661  1 Ru 1.85
O 0.7838 0.2303 0.4451  1 Ru 1.89

## Properties
Final energy: -6.910 eV per atom
Calculated volume: 169.7 Å³/f.u.
Formation energy without anion corrections: -2.0143 eV/atom


7.
Below is a relaxed Ac3Mg2RuO9 crystal, with properties calculated at the PBE level.

Cell lengths 5.6948, 5.6948, 6.9607 Å; angles 90.00, 90.00, 120.00 degrees
With the nearest neighbours (Å) after each atom.
Positions (direct):
Ac 0.0000 0.0000 0.0000  12 O 2.83-2.85
Ac 0.3333 0.6667 0.7000  9 O 2.66-2.86
Ac 0.6667 0.3333 0.3000  9 O 2.66-2.86
Mg 0.3333 0.6667 0.1668  6 O 2.01-2.06
Mg 0.6667 0.3333 0.8332  6 O 2.01-2.06
Ru 0.0000 0.0000 0.5000  6 O 1.96
O 0.0000 0.5000 0.0000  2 Mg 2.01
O 0.1617 0.3233 0.3357  1 Ru 1.96, 1 Mg 2.06
O 0.1617 0.8383 0.3357  1 Ru 1.96, 1 Mg 2.06
O 0.3233 0.1617 0.6643  1 Ru 1.96, 1 Mg 2.06
O 0.5000 0.0000 0.0000  2 Mg 2.01
O 0.5000 0.5000 0.0000  2 Mg 2.01
O 0.6767 0.8383 0.3357  1 Ru 1.96, 1 Mg 2.06
O 0.8383 0.1617 0.6643  1 Ru 1.96, 1 Mg 2.06
O 0.8383 0.6767 0.6643  1 Ru 1.96, 1 Mg 2.06

## Properties
Final energy: -7.277 eV per atom
Calculated volume: 195.5 Å³/f.u.
Formation energy without anion corrections: -2.6497 eV/atom


8.
Below is a relaxed Ac2MgS2O2 crystal, with properties calculated at the PBE level.

Cell lengths 8.1447, 8.1447, 8.1447 Å; angles 150.24, 150.24, 42.58 degrees
With the nearest neighbours (Å) after each atom.
Positions (direct):
Ac 0.1198 0.1198 0.0000  4 O 2.77, 4 S 3.07
Ac 0.8802 0.8802 0.0000  4 O 2.77, 4 S 3.07
Mg 0.5000 0.5000 0.0000  4 O 2.09
S 0.3248 0.3248 0.0000  1 Mg 2.66
S 0.6752 0.6752 0.0000  1 Mg 2.66
O 0.0000 0.5000 0.5000  2 Mg 2.09
O 0.5000 0.0000 0.5000  2 Mg 2.09

## Properties
Final energy: -6.639 eV per atom
Calculated volume: 132.7 Å³/f.u.
Formation energy without anion corrections: -2.6415 eV/atom


9.
Below is a relaxed Ac2MgScO6 crystal, with properties calculated at the PBE level.

Cell lengths 5.8102, 5.8282, 10.0223 Å; angles 90.00, 125.28, 90.00 degrees
With the nearest neighbours (Å) after each atom.
Positions (direct):
Ac 0.2406 0.0355 0.2492  6 O 2.50-2.74
Ac 0.2406 0.4645 0.7492  6 O 2.50-2.74
Ac 0.7594 0.5355 0.2508  6 O 2.50-2.74
Ac 0.7594 0.9645 0.7508  6 O 2.50-2.74
Mg 0.0000 0.0000 0.5000  6 O 2.10-2.11
Mg 0.0000 0.5000 0.0000  6 O 2.10-2.11
Sc 0.5000 0.0000 0.0000  6 O 2.11
Sc 0.5000 0.5000 0.5000  6 O 2.11
O 0.1711 0.2145 0.9556  1 Sc 2.11, 1 Mg 2.11
O 0.1711 0.2855 0.4556  1 Sc 2.11, 1 Mg 2.11
O 0.2394 0.7149 0.9547  1 Mg 2.11, 1 Sc 2.11
O 0.2394 0.7851 0.4547  1 Mg 2.11, 1 Sc 2.11
O 0.3321 0.0229 0.7496  1 Mg 2.10, 1 Sc 2.11
O 0.3321 0.4771 0.2496  1 Mg 2.10, 1 Sc 2.11
O 0.6679 0.5229 0.7504  1 Mg 2.10, 1 Sc 2.11
O 0.6679 0.9771 0.2504  1 Mg 2.10, 1 Sc 2.11
O 0.7606 0.2149 0.5453  1 Mg 2.11, 1 Sc 2.11
O 0.7606 0.2851 0.0453  1 Mg 2.11, 1 Sc 2.11
O 0.8289 0.7145 0.5444  1 Sc 2.11, 1 Mg 2.11
O 0.8289 0.7855 0.0444  1 Sc 2.11, 1 Mg 2.11

## Properties
Final energy: -7.654 eV per atom
Calculated volume: 138.5 Å³/f.u.
Formation energy without anion corrections: -3.0647 eV/atom


- Which value of calculated volume does entry 6 give?
  169.7 Å³/f.u.


- Among the records above, which one has the highest formation energy without anion corrections?
  AcMgRhO6